Record 1
{"formula": "Zn3GaCl", "functional": "PBE-GGA", "state": "relaxed", "lattice_angstrom": [[4.8398, 0.0000, 0.0000], [0.0000, 4.8398, 0.0000], [0.0000, 0.0000, 4.8398]], "species": ["Zn", "Zn", "Zn", "Ga", "Cl"], "frac_coords": [[0.0000, 0.0000, 0.5000], [0.0000, 0.5000, 0.0000], [0.5000, 0.0000, 0.0000], [0.0000, 0.0000, 0.0000], [0.5000, 0.5000, 0.5000]], "formation_energy_uncorrected_ev_per_atom": -0.02}

---

Record 2
{"formula": "ZnGaCl2", "functional": "PBE-GGA", "state": "relaxed", "lattice_angstrom": [[-1.5281, -1.2604, -6.6524], [4.8659, -4.9466, -0.1805], [-1.7433, -6.5122, -1.9868]], "species": ["Cl", "Cl", "Cl", "Cl", "Ga", "Ga", "Zn", "Zn"], "frac_coords": [[0.8750, 0.8124, 0.7500], [0.5624, 0.1250, 0.2500], [0.1876, 0.6250, 0.2500], [0.3750, 0.4376, 0.7500], [0.7500, 0.2500, 0.5000], [0.0000, 0.0000, 0.0000], [0.2500, 0.7500, 0.5000], [0.5000, 0.5000, 0.0000]], "formation_energy_uncorrected_ev_per_atom": -0.41}

---

Record 3
{"formula": "Zn3GaCl", "functional": "PBE-GGA", "state": "relaxed", "lattice_angstrom": [[5.0966, 0.0000, 0.0000], [0.0000, 5.0966, 0.0000], [0.0000, 0.0000, 5.0966]], "species": ["Ga", "Cl", "Zn", "Zn", "Zn"], "frac_coords": [[0.5000, 0.5000, 0.5000], [0.0000, 0.0000, 0.0000], [0.0000, 0.0000, 0.5000], [0.5000, 0.0000, 0.0000], [0.0000, 0.5000, 0.0000]], "formation_energy_uncorrected_ev_per_atom": 0.55}

---

Record 4
{"formula": "Zn5Ga3Cl12", "functional": "PBE-GGA", "state": "relaxed", "lattice_angstrom": [[13.8805, 0.0000, 0.0000], [-4.6268, 13.0867, 0.0000], [-4.6268, -6.5433, 11.3334]], "species": ["Zn", "Zn", "Zn", "Zn", "Zn", "Zn", "Zn", "Zn", "Zn", "Zn", "Zn", "Zn", "Zn", "Zn", "Zn", "Zn", "Zn", "Zn", "Zn", "Zn", "Cl", "Cl", "Cl", "Cl", "Cl", "Cl", "Cl", "Cl", "Cl", "Cl", "Cl", "Cl", "Cl", "Cl", "Cl", "Cl", "Cl", "Cl", "Cl", "Cl", "Cl", "Cl", "Cl", "Cl", "Cl", "Cl", "Cl", "Cl", "Cl", "Cl", "Cl", "Cl", "Cl", "Cl", "Cl", "Cl", "Cl", "Cl", "Cl", "Cl", "Cl", "Cl", "Cl", "Cl", "Cl", "Cl", "Cl", "Cl", "Ga", "Ga", "Ga", "Ga", "Ga", "Ga", "Ga", "Ga", "Ga", "Ga", "Ga", "Ga"], "frac_coords": [[0.5000, 0.5000, 0.5000], [0.1250, 0.7500, 0.3750], [0.0000, 0.5000, 0.5000], [0.0000, 0.0000, 0.5000], [0.2500, 0.8750, 0.1250], [0.3750, 0.2500, 0.1250], [0.3750, 0.1250, 0.7500], [0.5000, 0.0000, 0.0000], [0.7500, 0.6250, 0.3750], [0.0000, 0.0000, 0.0000], [0.6250, 0.7500, 0.8750], [0.1250, 0.3750, 0.2500], [0.5000, 0.5000, 0.0000], [0.2500, 0.3750, 0.6250], [0.8750, 0.2500, 0.6250], [0.8750, 0.6250, 0.7500], [0.7500, 0.1250, 0.8750], [0.0000, 0.5000, 0.0000], [0.6250, 0.8750, 0.2500], [0.5000, 0.0000, 0.5000], [0.6830, 0.1999, 0.5856], [0.8857, 0.5856, 0.9025], [0.0975, 0.9144, 0.1143], [0.3170, 0.8001, 0.4144], [0.1999, 0.6830, 0.0856], [0.0856, 0.1830, 0.1999], [0.6830, 0.4832, 0.5975], [0.0168, 0.4025, 0.8170], [0.6143, 0.5975, 0.9144], [0.9025, 0.0856, 0.8857], [0.8170, 0.9025, 0.0168], [0.1830, 0.0856, 0.6999], [0.8170, 0.9144, 0.3001], [0.9144, 0.0975, 0.6143], [0.1830, 0.0975, 0.9832], [0.9832, 0.3857, 0.3001], [0.4025, 0.3857, 0.5856], [0.4832, 0.8001, 0.8857], [0.1999, 0.5168, 0.6143], [0.9832, 0.5975, 0.1830], [0.1143, 0.4144, 0.0975], [0.3170, 0.5168, 0.4025], [0.4832, 0.6830, 0.0975], [0.8001, 0.3170, 0.9144], [0.5975, 0.6143, 0.4144], [0.0168, 0.6143, 0.6999], [0.6999, 0.5856, 0.1830], [0.5168, 0.1999, 0.1143], [0.3857, 0.4025, 0.0856], [0.4144, 0.1143, 0.5975], [0.1143, 0.6999, 0.5168], [0.4025, 0.0168, 0.3170], [0.0856, 0.9025, 0.3857], [0.3001, 0.8857, 0.9832], [0.0975, 0.1830, 0.4832], [0.8001, 0.4832, 0.3857], [0.6999, 0.1143, 0.0168], [0.5975, 0.9832, 0.6830], [0.9144, 0.8170, 0.8001], [0.3857, 0.9832, 0.8001], [0.3001, 0.4144, 0.8170], [0.6143, 0.0168, 0.1999], [0.9025, 0.8170, 0.5168], [0.8857, 0.3001, 0.4832], [0.5856, 0.6999, 0.6830], [0.5856, 0.8857, 0.4025], [0.4144, 0.3001, 0.3170], [0.5168, 0.3170, 0.9025], [0.7500, 0.3750, 0.1250], [0.7500, 0.8750, 0.6250], [0.6250, 0.3750, 0.7500], [0.1250, 0.2500, 0.8750], [0.3750, 0.6250, 0.2500], [0.6250, 0.2500, 0.3750], [0.2500, 0.1250, 0.3750], [0.8750, 0.1250, 0.2500], [0.1250, 0.8750, 0.7500], [0.8750, 0.7500, 0.1250], [0.2500, 0.6250, 0.8750], [0.3750, 0.7500, 0.6250]], "formation_energy_uncorrected_ev_per_atom": -0.88}

---

What did the second record say?
{"formula": "ZnGaCl2", "functional": "PBE-GGA", "state": "relaxed", "lattice_angstrom": [[-1.5281, -1.2604, -6.6524], [4.8659, -4.9466, -0.1805], [-1.7433, -6.5122, -1.9868]], "species": ["Cl", "Cl", "Cl", "Cl", "Ga", "Ga", "Zn", "Zn"], "frac_coords": [[0.8750, 0.8124, 0.7500], [0.5624, 0.1250, 0.2500], [0.1876, 0.6250, 0.2500], [0.3750, 0.4376, 0.7500], [0.7500, 0.2500, 0.5000], [0.0000, 0.0000, 0.0000], [0.2500, 0.7500, 0.5000], [0.5000, 0.5000, 0.0000]], "formation_energy_uncorrected_ev_per_atom": -0.41}

---

Repeat the first record exactly.
{"formula": "Zn3GaCl", "functional": "PBE-GGA", "state": "relaxed", "lattice_angstrom": [[4.8398, 0.0000, 0.0000], [0.0000, 4.8398, 0.0000], [0.0000, 0.0000, 4.8398]], "species": ["Zn", "Zn", "Zn", "Ga", "Cl"], "frac_coords": [[0.0000, 0.0000, 0.5000], [0.0000, 0.5000, 0.0000], [0.5000, 0.0000, 0.0000], [0.0000, 0.0000, 0.0000], [0.5000, 0.5000, 0.5000]], "formation_energy_uncorrected_ev_per_atom": -0.02}